DFT (PBE) results for a relaxed Zr3TaF crystal.

Cell: 4.5611 4.5611 4.5611 Å, 90.00 90.00 90.00°
With the nearest neighbours (Å) after each atom.
Space group Pm-3m (No. 221)
Unique sites:
Zr 0.0000 0.0000 0.5000 [3 per cell]  2 F 2.28
Ta 0.5000 0.5000 0.5000 [1 per cell]  12 Zr 3.23
F 0.0000 0.0000 0.0000 [1 per cell]  6 Zr 2.28

Computed properties:
V ... 19.0 Å³/atom
Energy above the most stable polymorph in this dataset ... 0.000 eV per atom
Formation energy (no corrections) ... -476 meV/atom
Final energy ... -8.35 eV per atom